A relaxed RbCr2SiF crystal. Source: Alexandria, functional PBE+U. Values from VASP.

Output
calculated volume: 113.7 Å³ per cell
energy: -23.12 eV/cell
size of the total moment: 8.2 μB per cell

Cell and atoms, written as Quantum ESPRESSO input:
```
&SYSTEM
  ibrav = 0, nat = 5, ntyp = 4
/
ATOMIC_SPECIES
Rb 85.47 Rb.upf
Cr 52.00 Cr.upf
Si 28.09 Si.upf
F 19.00 F.upf
ATOMIC_POSITIONS crystal
Rb 0.000 0.000 0.000
Cr 0.000 0.500 0.500
Cr 0.500 0.000 0.500
Si 0.500 0.500 0.000
F 0.000 0.000 0.500
CELL_PARAMETERS angstrom
4.735 0.000 0.000
0.000 4.735 0.000
0.000 0.000 5.070
```